[1]
Computed, not measured: a relaxed structure of RbErHg2Cl8 at the PBE-GGA level of DFT.

* DOS at the Fermi energy: 0.000 states/eV per atom
* magnetic moment: 0.0 μB/cell
* uncorrected energy: -0.2282 Ry per atom

Lattice parameters (Å, degrees): 6.6903 6.8964 9.2389 70.76 80.39 85.02
Space group P-1 (No. 2)
Unique sites:
Rb 0.0000 0.0000 0.0000 x1
Er 0.0000 0.0000 0.5000 x1
Hg 0.4699 0.4631 0.2336 x2
Cl 0.1312 0.7357 0.7440 x2
Cl 0.2003 0.8126 0.3194 x2
Cl 0.3215 0.2330 0.4771 x2
Cl 0.4144 0.2651 0.9949 x2

=====

[2]
Computed, not measured: a relaxed structure of Ca4ScOs at the PBE-GGA level of DFT.

* DOS at the Fermi energy: 1.371 states/eV per atom
* magnetic moment: 0.3 μB/cell
* E_form: 600 kJ/mol of formula units

Lattice parameters (Å, degrees): 8.7515 8.7515 8.7515 90.00 90.00 90.00
Space group F-43m (No. 216)
Unique sites:
Ca 0.1232 0.1232 0.1232 x16
Sc 0.0000 0.0000 0.5000 x4
Os 0.2500 0.2500 0.7500 x4

=====

[3]
Computed, not measured: a relaxed structure of LaTe at the PBE-GGA level of DFT.

* DOS at the Fermi energy: 0.940 states/eV per atom
* magnetic moment: 0.0 μB/cell
* uncorrected energy: -0.4033 Ry per atom

Lattice parameters (Å, degrees): 4.1674 12.5124 5.0135 90.00 90.00 90.00
Space group Cmcm (No. 63)
Unique sites:
La 0.0000 0.1279 0.2500 x4
Te 0.0000 0.3870 0.2500 x4

=====

[4]
Computed, not measured: a relaxed structure of AcHo12Tm7 at the PBE-GGA level of DFT.

* DOS at the Fermi energy: 1.207 states/eV per atom
* magnetic moment: 0.0 μB/cell
* E_form: 1341 kJ/mol of formula units
* energy above the lowest structure with this stoichiometry: 0.452 eV/atom

Lattice parameters (Å, degrees): 11.3053 11.3053 11.3053 90.00 90.00 90.00
Space group Im-3m (No. 229)
Unique sites:
Ac 0.0000 0.0000 0.0000 x2
Ho 0.0000 0.2674 0.2674 x24
Tm 0.0000 0.0000 0.5000 x6
Tm 0.2500 0.2500 0.2500 x8

=====

Please write out number 1 again, unchanged.
Computed, not measured: a relaxed structure of RbErHg2Cl8 at the PBE-GGA level of DFT.

* DOS at the Fermi energy: 0.000 states/eV per atom
* magnetic moment: 0.0 μB/cell
* uncorrected energy: -0.2282 Ry per atom

Lattice parameters (Å, degrees): 6.6903 6.8964 9.2389 70.76 80.39 85.02
Space group P-1 (No. 2)
Unique sites:
Rb 0.0000 0.0000 0.0000 x1
Er 0.0000 0.0000 0.5000 x1
Hg 0.4699 0.4631 0.2336 x2
Cl 0.1312 0.7357 0.7440 x2
Cl 0.2003 0.8126 0.3194 x2
Cl 0.3215 0.2330 0.4771 x2
Cl 0.4144 0.2651 0.9949 x2

=====

> Among the records above, which one has the lowest DOS at the Fermi energy?

RbErHg2Cl8

=====

> Look up the DOS at the Fermi energy of the second one.

1.371 states/eV per atom